The following is a DFT calculation (PBE) of LiY2SeN after structural relaxation.

The structure in CIF format:
```
data_LiY2SeN
_chemical_formula_sum 'Li1 Y2 Se1 N1'
_cell_length_a 5.470
_cell_length_b 4.037
_cell_length_c 5.470
_cell_angle_alpha 90.00
_cell_angle_beta 90.00
_cell_angle_gamma 90.00
_space_group_name_H-M_alt 'P 1'
_space_group_IT_number 1
loop_
_space_group_symop_operation_xyz
'x,y,z'
loop_
_atom_site_label
_atom_site_type_symbol
_atom_site_fract_x
_atom_site_fract_y
_atom_site_fract_z
Y1 Y 0.000 0.000 0.500
Y2 Y 0.500 0.000 0.000
Li1 Li 0.500 0.500 0.500
Se1 Se 0.000 0.000 0.000
N1 N 0.000 0.500 0.000
```

Output
N(E_F) (states/eV/f.u.): 4.5
ΔE_f (raw) (meV per atom): 323
SG: P4/mmm


The following is a DFT calculation (PBE) of LiZnSe2N after structural relaxation.

The structure in CIF format:
```
data_LiZnSe2N
_chemical_formula_sum 'Li1 Zn1 Se2 N1'
_cell_length_a 5.247
_cell_length_b 5.247
_cell_length_c 3.699
_cell_angle_alpha 90.00
_cell_angle_beta 90.00
_cell_angle_gamma 90.00
_space_group_name_H-M_alt 'P 1'
_space_group_IT_number 1
loop_
_space_group_symop_operation_xyz
'x,y,z'
loop_
_atom_site_label
_atom_site_type_symbol
_atom_site_fract_x
_atom_site_fract_y
_atom_site_fract_z
Zn1 Zn 0.000 0.000 0.000
Li1 Li 0.500 0.500 0.500
Se1 Se 0.000 0.500 0.000
Se2 Se 0.500 0.000 0.000
N1 N 0.000 0.000 0.500
```

Output
N(E_F) (states/eV/f.u.): 5.1
ΔE_f (raw) (meV per atom): 523
Relative energy among the computed polymorphs (eV/f.u.): 0.00
SG: P4/mmm


The following is a DFT calculation (PBE) of LiZnSeN2 after structural relaxation.

The structure in CIF format:
```
data_LiZnSeN2
_chemical_formula_sum 'Li1 Zn1 Se1 N2'
_cell_length_a 3.957
_cell_length_b 3.957
_cell_length_c 5.450
_cell_angle_alpha 90.00
_cell_angle_beta 90.00
_cell_angle_gamma 90.00
_space_group_name_H-M_alt 'P 1'
_space_group_IT_number 1
loop_
_space_group_symop_operation_xyz
'x,y,z'
loop_
_atom_site_label
_atom_site_type_symbol
_atom_site_fract_x
_atom_site_fract_y
_atom_site_fract_z
Zn1 Zn 0.000 0.000 0.000
Li1 Li 0.500 0.500 0.500
Se1 Se 0.000 0.000 0.500
N1 N 0.000 0.500 0.000
N2 N 0.500 0.000 0.000
```

Output
N(E_F) (states/eV/f.u.): 2.7
ΔE_f (raw) (meV per atom): 1121
Relative energy among the computed polymorphs (eV/f.u.): 0.00
SG: P4/mmm


The following is a DFT calculation (PBE) of LiZnSe2N after structural relaxation.

The structure in CIF format:
```
data_LiZnSe2N
_chemical_formula_sum 'Li1 Zn1 Se2 N1'
_cell_length_a 4.830
_cell_length_b 4.830
_cell_length_c 3.681
_cell_angle_alpha 90.00
_cell_angle_beta 90.00
_cell_angle_gamma 90.00
_space_group_name_H-M_alt 'P 1'
_space_group_IT_number 1
loop_
_space_group_symop_operation_xyz
'x,y,z'
loop_
_atom_site_label
_atom_site_type_symbol
_atom_site_fract_x
_atom_site_fract_y
_atom_site_fract_z
Zn1 Zn 0.500 0.500 0.500
Li1 Li 0.000 0.000 0.000
Se1 Se 0.000 0.500 0.000
Se2 Se 0.500 0.000 0.000
N1 N 0.000 0.000 0.500
```

Output
N(E_F) (states/eV/f.u.): 3.6
ΔE_f (raw) (meV per atom): 854
Relative energy among the computed polymorphs (eV/f.u.): 1.65
SG: P4/mmm


The following is a DFT calculation (PBE) of LiZnSeN2 after structural relaxation.

The structure in CIF format:
```
data_LiZnSeN2
_chemical_formula_sum 'Li1 Zn1 Se1 N2'
_cell_length_a 3.694
_cell_length_b 3.694
_cell_length_c 5.644
_cell_angle_alpha 90.00
_cell_angle_beta 90.00
_cell_angle_gamma 90.00
_space_group_name_H-M_alt 'P 1'
_space_group_IT_number 1
loop_
_space_group_symop_operation_xyz
'x,y,z'
loop_
_atom_site_label
_atom_site_type_symbol
_atom_site_fract_x
_atom_site_fract_y
_atom_site_fract_z
Zn1 Zn 0.500 0.500 0.500
Li1 Li 0.000 0.000 0.000
Se1 Se 0.000 0.000 0.500
N1 N 0.000 0.500 0.000
N2 N 0.500 0.000 0.000
```

Output
N(E_F) (states/eV/f.u.): 2.3
ΔE_f (raw) (meV per atom): 1476
Relative energy among the computed polymorphs (eV/f.u.): 1.78
SG: P4/mmm


The following is a DFT calculation (PBE) of LiZrSe2N after structural relaxation.

The structure in CIF format:
```
data_LiZrSe2N
_chemical_formula_sum 'Li1 Zr1 Se2 N1'
_cell_length_a 4.726
_cell_length_b 4.726
_cell_length_c 3.629
_cell_angle_alpha 90.00
_cell_angle_beta 90.00
_cell_angle_gamma 90.00
_space_group_name_H-M_alt 'P 1'
_space_group_IT_number 1
loop_
_space_group_symop_operation_xyz
'x,y,z'
loop_
_atom_site_label
_atom_site_type_symbol
_atom_site_fract_x
_atom_site_fract_y
_atom_site_fract_z
Li1 Li 0.000 0.000 0.000
Se1 Se 0.000 0.500 0.000
Se2 Se 0.500 0.000 0.000
Zr1 Zr 0.500 0.500 0.500
N1 N 0.000 0.000 0.500
```

Output
N(E_F) (states/eV/f.u.): 3.5
ΔE_f (raw) (meV per atom): 239
Relative energy among the computed polymorphs (eV/f.u.): 3.21
SG: P4/mmm


The following is a DFT calculation (PBE) of LiZrSe2N after structural relaxation.

The structure in CIF format:
```
data_LiZrSe2N
_chemical_formula_sum 'Li1 Zr1 Se2 N1'
_cell_length_a 5.323
_cell_length_b 5.323
_cell_length_c 4.217
_cell_angle_alpha 90.00
_cell_angle_beta 90.00
_cell_angle_gamma 90.00
_space_group_name_H-M_alt 'P 1'
_space_group_IT_number 1
loop_
_space_group_symop_operation_xyz
'x,y,z'
loop_
_atom_site_label
_atom_site_type_symbol
_atom_site_fract_x
_atom_site_fract_y
_atom_site_fract_z
Li1 Li 0.500 0.500 0.500
Se1 Se 0.000 0.500 0.000
Se2 Se 0.500 0.000 0.000
Zr1 Zr 0.000 0.000 0.000
N1 N 0.000 0.000 0.500
```

Output
N(E_F) (states/eV/f.u.): 1.7
ΔE_f (raw) (meV per atom): -403
Relative energy among the computed polymorphs (eV/f.u.): 0.00
SG: P4/mmm


The following is a DFT calculation (PBE) of Li2SiN after structural relaxation.

The structure in CIF format:
```
data_Li2SiN
_chemical_formula_sum 'Li2 Si1 N1'
_cell_length_a 4.030
_cell_length_b 4.030
_cell_length_c 4.030
_cell_angle_alpha 60.00
_cell_angle_beta 60.00
_cell_angle_gamma 60.00
_space_group_name_H-M_alt 'P 1'
_space_group_IT_number 1
loop_
_space_group_symop_operation_xyz
'x,y,z'
loop_
_atom_site_label
_atom_site_type_symbol
_atom_site_fract_x
_atom_site_fract_y
_atom_site_fract_z
Si1 Si 0.500 0.500 0.500
Li1 Li 0.250 0.250 0.250
Li2 Li 0.750 0.750 0.750
N1 N 0.000 0.000 0.000
```

Output
N(E_F) (states/eV/f.u.): 1.2
ΔE_f (raw) (meV per atom): 589
Relative energy among the computed polymorphs (eV/f.u.): 2.71
SG: Fm-3m


The following is a DFT calculation (PBE) of LiSi3N after structural relaxation.

The structure in CIF format:
```
data_LiSi3N
_chemical_formula_sum 'Li1 Si3 N1'
_cell_length_a 4.115
_cell_length_b 4.115
_cell_length_c 4.115
_cell_angle_alpha 90.00
_cell_angle_beta 90.00
_cell_angle_gamma 90.00
_space_group_name_H-M_alt 'P 1'
_space_group_IT_number 1
loop_
_space_group_symop_operation_xyz
'x,y,z'
loop_
_atom_site_label
_atom_site_type_symbol
_atom_site_fract_x
_atom_site_fract_y
_atom_site_fract_z
Si1 Si 0.000 0.500 0.000
Si2 Si 0.000 0.000 0.500
Si3 Si 0.500 0.000 0.000
Li1 Li 0.500 0.500 0.500
N1 N 0.000 0.000 0.000
```

Output
N(E_F) (states/eV/f.u.): 2.8
ΔE_f (raw) (meV per atom): 612
Relative energy among the computed polymorphs (eV/f.u.): 0.00
SG: Pm-3m


The following is a DFT calculation (PBE) of Li2SiN2 after structural relaxation.

The structure in CIF format:
```
data_Li2SiN2
_chemical_formula_sum 'Li4 Si2 N4'
_cell_length_a 6.069
_cell_length_b 6.069
_cell_length_c 2.383
_cell_angle_alpha 90.00
_cell_angle_beta 90.00
_cell_angle_gamma 90.00
_space_group_name_H-M_alt 'P 1'
_space_group_IT_number 1
loop_
_space_group_symop_operation_xyz
'x,y,z'
loop_
_atom_site_label
_atom_site_type_symbol
_atom_site_fract_x
_atom_site_fract_y
_atom_site_fract_z
Si1 Si 0.000 0.000 0.000
Si2 Si 0.500 0.500 0.000
Li1 Li 0.384 0.884 0.000
Li2 Li 0.884 0.616 0.000
Li3 Li 0.616 0.116 0.000
Li4 Li 0.116 0.384 0.000
N1 N 0.188 0.688 0.500
N2 N 0.688 0.812 0.500
N3 N 0.812 0.312 0.500
N4 N 0.312 0.188 0.500
```

Output
N(E_F) (states/eV/f.u.): 1.5
ΔE_f (raw) (meV per atom): 660
SG: P4/mbm


The following is a DFT calculation (PBE) of Li2SiN after structural relaxation.

The structure in CIF format:
```
data_Li2SiN
_chemical_formula_sum 'Li4 Si2 N2'
_cell_length_a 7.695
_cell_length_b 7.695
_cell_length_c 5.733
_cell_angle_alpha 47.84
_cell_angle_beta 47.84
_cell_angle_gamma 90.00
_space_group_name_H-M_alt 'P 1'
_space_group_IT_number 1
loop_
_space_group_symop_operation_xyz
'x,y,z'
loop_
_atom_site_label
_atom_site_type_symbol
_atom_site_fract_x
_atom_site_fract_y
_atom_site_fract_z
Si1 Si 0.000 0.000 0.000
Si2 Si 0.750 0.250 0.500
Li1 Li 0.480 0.125 0.250
Li2 Li 0.270 0.625 0.250
Li3 Li 0.375 0.520 0.750
Li4 Li 0.875 0.730 0.750
N1 N 0.500 0.500 0.000
N2 N 0.250 0.750 0.500
```

Output
N(E_F) (states/eV/f.u.): 1.2
ΔE_f (raw) (meV per atom): -89
Relative energy among the computed polymorphs (eV/f.u.): 0.00
SG: I-42d


The following is a DFT calculation (PBE) of Li2SiN2 after structural relaxation.

The structure in CIF format:
```
data_Li2SiN2
_chemical_formula_sum 'Li2 Si1 N2'
_cell_length_a 3.778
_cell_length_b 3.778
_cell_length_c 4.214
_cell_angle_alpha 63.37
_cell_angle_beta 63.37
_cell_angle_gamma 90.00
_space_group_name_H-M_alt 'P 1'
_space_group_IT_number 1
loop_
_space_group_symop_operation_xyz
'x,y,z'
loop_
_atom_site_label
_atom_site_type_symbol
_atom_site_fract_x
_atom_site_fract_y
_atom_site_fract_z
Si1 Si 0.000 0.000 0.000
Li1 Li 0.342 0.342 0.316
Li2 Li 0.658 0.658 0.684
N1 N 0.750 0.250 0.500
N2 N 0.250 0.750 0.500
```

Output
N(E_F) (states/eV/f.u.): 1.8
ΔE_f (raw) (meV per atom): 809
SG: I4/mmm


The following is a DFT calculation (PBE) of Li3SiN after structural relaxation.

The structure in CIF format:
```
data_Li3SiN
_chemical_formula_sum 'Li3 Si1 N1'
_cell_length_a 3.940
_cell_length_b 3.940
_cell_length_c 3.940
_cell_angle_alpha 90.00
_cell_angle_beta 90.00
_cell_angle_gamma 90.00
_space_group_name_H-M_alt 'P 1'
_space_group_IT_number 1
loop_
_space_group_symop_operation_xyz
'x,y,z'
loop_
_atom_site_label
_atom_site_type_symbol
_atom_site_fract_x
_atom_site_fract_y
_atom_site_fract_z
Si1 Si 0.500 0.500 0.500
Li1 Li 0.000 0.500 0.000
Li2 Li 0.000 0.000 0.500
Li3 Li 0.500 0.000 0.000
N1 N 0.000 0.000 0.000
```

Output
N(E_F) (states/eV/f.u.): 2.3
ΔE_f (raw) (meV per atom): 89
Relative energy among the computed polymorphs (eV/f.u.): 0.00
SG: Pm-3m


The following is a DFT calculation (PBE) of LiSi3N after structural relaxation.

The structure in CIF format:
```
data_LiSi3N
_chemical_formula_sum 'Li1 Si3 N1'
_cell_length_a 4.184
_cell_length_b 4.184
_cell_length_c 4.184
_cell_angle_alpha 90.00
_cell_angle_beta 90.00
_cell_angle_gamma 90.00
_space_group_name_H-M_alt 'P 1'
_space_group_IT_number 1
loop_
_space_group_symop_operation_xyz
'x,y,z'
loop_
_atom_site_label
_atom_site_type_symbol
_atom_site_fract_x
_atom_site_fract_y
_atom_site_fract_z
Si1 Si 0.000 0.500 0.000
Si2 Si 0.000 0.000 0.500
Si3 Si 0.500 0.000 0.000
Li1 Li 0.000 0.000 0.000
N1 N 0.500 0.500 0.500
```

Output
N(E_F) (states/eV/f.u.): 0.9
ΔE_f (raw) (meV per atom): 1653
Relative energy among the computed polymorphs (eV/f.u.): 5.20
SG: Pm-3m


no.,total magnetization (μB per atom)
1,0.00
2,0.40
3,0.85
4,0.35
5,0.59
6,0.19
7,0.33
8,0.00
9,0.00
10,0.00
11,0.00
12,0.00
13,0.00
14,0.00